This record from the Alexandria database describes HoGa2Fe2P after structural relaxation. The functional is PBE-GGA.

Calculated values
M_tot ... 2.47 μB/cell
Calculated volume ... 16.2 Å³ per atom
DFT total energy ... -5.92 eV/atom

The structure in POSCAR format:
```
HoGa2Fe2P
1.0
-2.060 -1.260 3.462
1.851 -3.783 -0.275
4.111 1.786 3.097
Ho Ga Fe P
1 2 2 1
Direct
0.000 0.000 0.500
0.500 0.500 0.732
0.500 0.500 0.268
0.500 0.000 0.000
0.000 0.500 0.000
0.000 0.000 0.000
```